The following is a SCAN calculation of a PBEsol-optimized structure of HfPtN3, from Alexandria via LeMat-Bulk.

Cell lengths 3.8405, 3.8405, 3.8405 Å; angles 90.00, 90.00, 90.00 degrees
With the nearest neighbours (Å) after each atom.
Space group Pm-3m (No. 221)
Inequivalent atoms, fractional coordinates:
Hf (0.0000, 0.0000, 0.0000) (multiplicity 1)  12 N 2.72
Pt (0.5000, 0.5000, 0.5000) (multiplicity 1)  6 N 1.92
N (0.0000, 0.5000, 0.5000) (multiplicity 3)  2 Pt 1.92

Calculated volume = 56.65 Å³/cell
Size of the total moment = 0.0 μB/cell
D(E_F) = 0.70 states/eV per atom
Formation energy without anion corrections = 0.83 eV/atom